# 1
VASP calculation (PBEsol) on ZnCuAu2 after structural relaxation.

Lattice parameters (Å, degrees): 2.8545 3.6604 5.6811 90.00 90.00 90.00
Closest atoms and distances in Å follow each position.
Atoms (fractional coordinates):
Zn1 0.0000 0.0000 0.0000  5 Au 2.62-2.68, 4 Cu 2.67, 2 Zn 2.85
Cu1 0.5000 0.5000 0.7684  5 Au 2.66, 4 Zn 2.67, 2 Cu 2.85
Au1 0.0000 0.0000 0.5395  1 Zn 2.62, 4 Cu 2.66, 6 Au 2.85-2.89
Au2 0.5000 0.5000 0.2374  1 Cu 2.66, 4 Zn 2.68, 6 Au 2.85-2.89

Formation energy: -11 kJ per mole of atoms
Space-group type: Pmm2 (25)
Spin magnetization: 0.000 μB/f.u.

---

# 2
VASP calculation (PBEsol) on VCrB4 after structural relaxation.

Lattice parameters (Å, degrees): 2.9772 2.9772 5.8402 90.00 90.00 120.00
Closest atoms and distances in Å follow each position.
Atoms (fractional coordinates):
V1 0.0000 0.0000 0.0000  12 B 2.27
Cr1 0.0000 0.0000 0.5000  12 B 2.24
B1 0.3333 0.6667 0.2533  3 B 1.72
B2 0.3333 0.6667 0.7467  3 B 1.72
B3 0.6667 0.3333 0.2533  3 B 1.72
B4 0.6667 0.3333 0.7467  3 B 1.72

Formation energy: -58 kJ per mole of atoms
Space-group type: P6/mmm (191)
Spin magnetization: 0.066 μB/f.u.

---

# 3
VASP calculation (PBEsol) on KY2TiMo after structural relaxation.

Lattice parameters (Å, degrees): 5.0603 5.0603 4.3810 90.00 90.00 90.00
Closest atoms and distances in Å follow each position.
Atoms (fractional coordinates):
K1 0.0000 0.0000 0.0000  2 Ti 2.19
Y1 0.0000 0.5000 0.0000  2 K 2.53
Y2 0.5000 0.0000 0.0000  2 K 2.53
Ti1 0.0000 0.0000 0.5000  2 K 2.19
Mo1 0.5000 0.5000 0.5000  8 Y 3.35, 4 Ti 3.58

Formation energy: 185 kJ per mole of atoms
Space-group type: P4/mmm (123)
Spin magnetization: 0.906 μB/f.u.

---

# 4
VASP calculation (PBEsol) on TaCdAu after structural relaxation.

Lattice parameters (Å, degrees): 4.4039 4.4039 4.4039 60.00 60.00 60.00
Closest atoms and distances in Å follow each position.
Atoms (fractional coordinates):
Ta1 0.0000 0.0000 0.0000  4 Cd 2.70
Cd1 0.2500 0.2500 0.2500  4 Ta 2.70, 4 Au 2.70
Au1 0.5000 0.5000 0.5000  4 Cd 2.70

Formation energy: 79 kJ per mole of atoms
Space-group type: F-43m (216)
Spin magnetization: 0.000 μB/f.u.

---

# 5
VASP calculation (PBEsol) on Na2HgBr after structural relaxation.

Lattice parameters (Å, degrees): 6.7479 6.7479 6.7479 107.60 107.60 113.28
Closest atoms and distances in Å follow each position.
Atoms (fractional coordinates):
Na1 0.0958 0.6250 0.9708  2 Br 2.82, 2 Hg 3.13
Na2 0.3750 0.3458 0.4708  2 Br 2.82, 2 Hg 3.13
Na3 0.6542 0.1250 0.0292  2 Br 2.82, 2 Hg 3.13
Na4 0.8750 0.9042 0.5292  2 Br 2.82, 2 Hg 3.13
Hg1 0.2500 0.7500 0.5000  4 Na 3.13
Hg2 0.5000 0.5000 0.0000  4 Na 3.13
Br1 0.0000 0.0000 0.0000  4 Na 2.82
Br2 0.7500 0.2500 0.5000  4 Na 2.82

Raw formation energy: -0.6311 eV per atom
Space-group type: I-42d (122)
Spin magnetization: 0.003 μB/f.u.

---

# 6
VASP calculation (PBEsol) on Rb2BH after structural relaxation.

Lattice parameters (Å, degrees): 7.0416 7.0416 7.0416 112.75 112.75 103.10
Closest atoms and distances in Å follow each position.
Atoms (fractional coordinates):
Rb1 0.0731 0.6250 0.9481  2 H 2.72
Rb2 0.3750 0.3231 0.4481  2 H 2.72
Rb3 0.6769 0.1250 0.0519  2 H 2.72
Rb4 0.8750 0.9269 0.5519  2 H 2.72
B1 0.2500 0.7500 0.5000  4 Rb 3.25
B2 0.5000 0.5000 0.0000  4 Rb 3.25
H1 0.0000 0.0000 0.0000  4 Rb 2.72
H2 0.7500 0.2500 0.5000  4 Rb 2.72

Relative energy among the computed polymorphs: 0.00 eV per formula unit
Space-group type: I-42d (122)
Spin magnetization: 2.004 μB/f.u.

---

# 7
VASP calculation (PBEsol) on RbCdH3 after structural relaxation.

Lattice parameters (Å, degrees): 4.1040 4.1040 4.1040 90.00 90.00 90.00
Closest atoms and distances in Å follow each position.
Atoms (fractional coordinates):
Rb1 0.0000 0.0000 0.0000  12 H 2.90
Cd1 0.5000 0.5000 0.5000  6 H 2.05
H1 0.0000 0.5000 0.5000  2 Cd 2.05
H2 0.5000 0.0000 0.5000  2 Cd 2.05
H3 0.5000 0.5000 0.0000  2 Cd 2.05

Electronic total energy: -2.4600 eV per atom
Space-group type: Pm-3m (221)
Spin magnetization: 0.000 μB/f.u.

---

# 8
VASP calculation (PBEsol) on MgTaTi2Cu after structural relaxation.

Lattice parameters (Å, degrees): 4.6525 4.6525 4.1530 90.00 90.00 90.00
Closest atoms and distances in Å follow each position.
Atoms (fractional coordinates):
Mg1 0.0000 0.0000 0.0000  2 Cu 2.08
Ta1 0.5000 0.5000 0.5000  8 Ti 3.12, 4 Cu 3.29
Ti1 0.0000 0.5000 0.0000  2 Mg 2.33
Ti2 0.5000 0.0000 0.0000  2 Mg 2.33
Cu1 0.0000 0.0000 0.5000  2 Mg 2.08

Formation energy: 135 kJ per mole of atoms
Space-group type: P4/mmm (123)
Spin magnetization: 1.567 μB/f.u.

---

# 9
VASP calculation (PBEsol) on Ba2ThCu2Se5 after structural relaxation.

Lattice parameters (Å, degrees): 7.3112 7.3112 9.6488 114.38 114.38 33.56
Closest atoms and distances in Å follow each position.
Atoms (fractional coordinates):
Ba1 0.1759 0.1759 0.1940  8 Se 3.17-3.48
Ba2 0.8241 0.8241 0.8060  8 Se 3.17-3.48
Th1 0.0000 0.0000 0.5000  6 Se 2.87-2.93
Cu1 0.4488 0.4488 0.2108  4 Se 2.43-2.47
Cu2 0.5512 0.5512 0.7892  4 Se 2.43-2.47
Se1 0.1489 0.1489 0.8180  2 Cu 2.47
Se2 0.3798 0.3798 0.5645  1 Cu 2.44
Se3 0.5000 0.5000 0.0000  2 Cu 2.43
Se4 0.6202 0.6202 0.4355  1 Cu 2.44
Se5 0.8511 0.8511 0.1820  2 Cu 2.47

Raw formation energy: -1.4334 eV per atom
Space-group type: C2/m (12)
Spin magnetization: 0.000 μB/f.u.

---

# 10
VASP calculation (PBEsol) on LiVPHO5 after structural relaxation.

Lattice parameters (Å, degrees): 5.3278 6.1701 6.4528 104.72 105.35 104.22
Closest atoms and distances in Å follow each position.
Atoms (fractional coordinates):
Li1 0.0000 0.0000 0.0000  4 O 1.98-2.04
Li2 0.0000 0.0000 0.5000  4 O 2.02-2.04
V1 0.2297 0.6109 0.2176  6 O 1.92-2.05
V2 0.7703 0.3891 0.7824  6 O 1.92-2.05
P1 0.3583 0.5561 0.7322  4 O 1.53-1.57
P2 0.6417 0.4439 0.2678  4 O 1.53-1.57
H1 0.3475 0.0509 0.3457  1 O 0.98
H2 0.6525 0.9491 0.6543  1 O 0.98
O1 0.1761 0.9138 0.2641  1 H 0.98
O2 0.1779 0.5935 0.8870  1 P 1.57
O3 0.2549 0.6437 0.5348  1 P 1.53
O4 0.3307 0.3078 0.1336  1 P 1.55
O5 0.3480 0.2927 0.6624  1 P 1.56
O6 0.6520 0.7073 0.3376  1 P 1.56
O7 0.6693 0.6922 0.8664  1 P 1.55
O8 0.7451 0.3563 0.4652  1 P 1.53
O9 0.8221 0.4065 0.1130  1 P 1.57
O10 0.8239 0.0862 0.7359  1 H 0.98

Electronic total energy: -7.2421 eV per atom
Space-group type: P-1 (2)
Spin magnetization: 2.000 μB/f.u.

---

# 11
VASP calculation (PBEsol) on NaZr2CuF11 after structural relaxation.

Lattice parameters (Å, degrees): 5.4400 5.7733 7.6491 110.68 96.17 106.10
Closest atoms and distances in Å follow each position.
Atoms (fractional coordinates):
Na1 0.0000 0.0000 0.0000  6 F 2.20-2.45
Zr1 0.4842 0.2684 0.7630  7 F 1.94-2.15
Zr2 0.5158 0.7316 0.2370  7 F 1.94-2.15
Cu1 0.0000 0.5000 0.5000  4 F 1.90-1.92
F1 0.1950 0.9374 0.7199  1 Zr 2.00
F2 0.2085 0.3891 0.6515  1 Cu 1.92, 1 Zr 2.05
F3 0.2331 0.8081 0.1157  1 Zr 1.94
F4 0.2504 0.5104 0.3453  1 Cu 1.90, 1 Zr 2.09
F5 0.3577 0.3335 0.0277  2 Zr 2.14-2.15, 1 Na 2.25, 1 F 2.31
F6 0.5000 0.0000 0.5000  2 Zr 2.09
F7 0.6423 0.6665 0.9723  2 Zr 2.14-2.15, 1 Na 2.25, 1 F 2.31
F8 0.7496 0.4896 0.6547  1 Cu 1.90, 1 Zr 2.09
F9 0.7669 0.1919 0.8843  1 Zr 1.94
F10 0.7915 0.6109 0.3485  1 Cu 1.92, 1 Zr 2.05
F11 0.8050 0.0626 0.2801  1 Zr 2.00

Raw formation energy: -3.1939 eV per atom
Space-group type: P-1 (2)
Spin magnetization: 1.000 μB/f.u.

---

# 12
VASP calculation (PBEsol) on BaYPd2C after structural relaxation.

Lattice parameters (Å, degrees): 5.0232 5.0232 6.2090 90.00 90.00 90.00
Closest atoms and distances in Å follow each position.
Atoms (fractional coordinates):
Ba1 0.0000 0.0000 0.0000  4 Pd 2.51
Y1 0.0000 0.0000 0.5000  2 Ba 3.10
Pd1 0.0000 0.5000 0.0000  2 Ba 2.51
Pd2 0.5000 0.0000 0.0000  2 Ba 2.51
C1 0.5000 0.5000 0.5000  4 Y 3.55

Formation energy: 236 kJ per mole of atoms
Space-group type: P4/mmm (123)
Spin magnetization: 0.748 μB/f.u.

---

# 13
VASP calculation (PBEsol) on BeCrPb2W after structural relaxation.

Lattice parameters (Å, degrees): 5.0612 5.0612 4.4608 90.00 90.00 90.00
Closest atoms and distances in Å follow each position.
Atoms (fractional coordinates):
Be1 0.0000 0.0000 0.0000  8 Pb 3.37, 4 W 3.58
Cr1 0.5000 0.5000 0.5000  2 W 2.23
Pb1 0.0000 0.5000 0.5000  2 Cr 2.53
Pb2 0.5000 0.0000 0.5000  2 Cr 2.53
W1 0.5000 0.5000 0.0000  2 Cr 2.23

Formation energy: 150 kJ per mole of atoms
Space-group type: P4/mmm (123)
Spin magnetization: 0.063 μB/f.u.

---

# 14
VASP calculation (PBEsol) on Zn2BAuBr after structural relaxation.

Lattice parameters (Å, degrees): 4.0618 4.0618 5.2636 90.00 90.00 90.00
Closest atoms and distances in Å follow each position.
Atoms (fractional coordinates):
Zn1 0.0000 0.5000 0.0000  2 B 2.03
Zn2 0.5000 0.0000 0.0000  2 B 2.03
B1 0.0000 0.0000 0.0000  4 Zn 2.03
Au1 0.5000 0.5000 0.5000  4 Br 2.87
Br1 0.0000 0.0000 0.5000  2 B 2.63, 4 Au 2.87

Raw formation energy: 0.4677 eV per atom
Space-group type: P4/mmm (123)
Spin magnetization: 0.000 μB/f.u.

---

# 15
VASP calculation (PBEsol) on MnTePb after structural relaxation.

Lattice parameters (Å, degrees): 4.5180 4.5180 4.1542 90.00 90.00 120.00
Closest atoms and distances in Å follow each position.
Atoms (fractional coordinates):
Mn1 0.0000 0.0000 0.0000  3 Te 2.61
Te1 0.6667 0.3333 0.0000  3 Mn 2.61
Pb1 0.3333 0.6667 0.5000  6 Mn 3.33, 6 Te 3.33

Raw formation energy: 0.2277 eV per atom
Space-group type: P-6m2 (187)
Spin magnetization: 3.246 μB/f.u.

---

# 16
VASP calculation (PBEsol) on Cd2RePb after structural relaxation.

Lattice parameters (Å, degrees): 3.0601 4.7529 5.4364 90.00 90.00 90.00
Closest atoms and distances in Å follow each position.
Atoms (fractional coordinates):
Cd1 0.0000 0.0000 0.0000  6 Cd 2.83-3.06, 4 Pb 3.12
Cd2 0.5000 0.5000 0.0000  6 Cd 2.83-3.06, 4 Re 3.12
Re1 0.0000 0.5000 0.5000  4 Pb 2.83, 2 Re 3.06, 4 Cd 3.12
Pb1 0.5000 0.0000 0.5000  4 Re 2.83, 2 Pb 3.06, 4 Cd 3.12

Formation energy: 74 kJ per mole of atoms
Space-group type: Pmmm (47)
Spin magnetization: 0.000 μB/f.u.

---

# 17
VASP calculation (PBEsol) on PtS2ClO after structural relaxation.

Lattice parameters (Å, degrees): 4.5669 4.5669 4.9051 90.00 90.00 90.00
Closest atoms and distances in Å follow each position.
Atoms (fractional coordinates):
Pt1 0.0000 0.0000 0.0000  4 S 2.28, 2 Cl 2.45
S1 0.0000 0.5000 0.0000  2 Pt 2.28
S2 0.5000 0.0000 0.0000  2 Pt 2.28
Cl1 0.0000 0.0000 0.5000  2 Pt 2.45
O1 0.5000 0.5000 0.5000  4 Cl 3.23, 8 S 3.35

Raw formation energy: 0.9463 eV per atom
Space-group type: P4/mmm (123)
Spin magnetization: 1.803 μB/f.u.

---

# 18
VASP calculation (PBEsol) on Zn3Fe after structural relaxation.

Lattice parameters (Å, degrees): 5.0450 5.0450 5.0450 148.60 129.67 60.53
Closest atoms and distances in Å follow each position.
Atoms (fractional coordinates):
Zn1 0.0000 0.0000 0.0000  4 Fe 2.54, 6 Zn 2.64-2.73
Zn2 0.2586 0.7586 0.5000  2 Fe 2.51, 8 Zn 2.55-2.73
Zn3 0.7414 0.2414 0.5000  2 Fe 2.51, 8 Zn 2.55-2.73
Fe1 0.5000 0.5000 0.0000  8 Zn 2.51-2.54, 2 Fe 2.73

Formation energy: 6 kJ per mole of atoms
Space-group type: Immm (71)
Spin magnetization: 1.773 μB/f.u.

---

# 19
VASP calculation (PBEsol) on Hg3Ir after structural relaxation.

Lattice parameters (Å, degrees): 3.1038 4.1430 5.8193 90.00 90.00 90.00
Closest atoms and distances in Å follow each position.
Atoms (fractional coordinates):
Hg1 0.0000 0.0000 0.0000  2 Ir 2.91, 10 Hg 3.01-3.10
Hg2 0.5000 0.5000 0.2643  5 Hg 2.74-3.01, 4 Ir 2.93
Hg3 0.5000 0.5000 0.7357  5 Hg 2.74-3.01, 4 Ir 2.93
Ir1 0.0000 0.0000 0.5000  10 Hg 2.91-2.93, 2 Ir 3.10

Formation energy: 39 kJ per mole of atoms
Relative energy among the computed polymorphs: 0.15 eV per formula unit
Space-group type: Pmmm (47)
Spin magnetization: 0.000 μB/f.u.

---

# 20
VASP calculation (PBEsol) on BaNbSCl2 after structural relaxation.

Lattice parameters (Å, degrees): 4.9287 4.9287 4.8457 90.00 90.00 90.00
Closest atoms and distances in Å follow each position.
Atoms (fractional coordinates):
Ba1 0.0000 0.0000 0.0000  8 Cl 3.46, 4 S 3.49
Nb1 0.5000 0.5000 0.5000  2 S 2.42, 4 Cl 2.46
S1 0.5000 0.5000 0.0000  2 Nb 2.42
Cl1 0.0000 0.5000 0.5000  2 Nb 2.46
Cl2 0.5000 0.0000 0.5000  2 Nb 2.46

Raw formation energy: -1.3069 eV per atom
Space-group type: P4/mmm (123)
Spin magnetization: 0.350 μB/f.u.